(one)
VASP calculation (PBE) on YHfAsO after structural relaxation.

Unit cell a=4.150 b=4.150 c=8.720 alpha=90.00 beta=90.00 gamma=90.00
Fractional coordinates of all 8 atoms:
Y  0.250  0.250  0.115
Y  0.750  0.750  0.885
Hf  0.250  0.750  0.500
Hf  0.750  0.250  0.500
As  0.250  0.250  0.696
As  0.750  0.750  0.304
O  0.250  0.750  0.000
O  0.750  0.250  0.000

calculated volume: 18.8 Å³/atom

(two)
VASP calculation (PBE) on YHfAsO after structural relaxation.

Unit cell a=5.148 b=4.037 c=7.576 alpha=90.00 beta=90.00 gamma=90.00
Fractional coordinates of all 8 atoms:
Y  0.250  0.000  0.138
Y  0.750  0.000  0.862
Hf  0.250  0.500  0.751
Hf  0.750  0.500  0.249
As  0.250  0.500  0.392
As  0.750  0.500  0.608
O  0.250  0.000  0.829
O  0.750  0.000  0.171

calculated volume: 19.7 Å³/atom

(three)
VASP calculation (PBE) on YHfAsO after structural relaxation.

Unit cell a=4.101 b=4.101 c=8.301 alpha=90.00 beta=90.00 gamma=90.00
Fractional coordinates of all 8 atoms:
Y  0.250  0.750  0.000
Y  0.750  0.250  0.000
Hf  0.250  0.250  0.391
Hf  0.750  0.750  0.609
As  0.250  0.250  0.759
As  0.750  0.750  0.241
O  0.250  0.750  0.500
O  0.750  0.250  0.500

calculated volume: 17.4 Å³/atom

(four)
VASP calculation (PBE) on YHfAsO after structural relaxation.

Unit cell a=3.955 b=7.455 c=5.791 alpha=90.00 beta=90.00 gamma=90.00
Fractional coordinates of all 8 atoms:
Y  0.000  0.224  0.000
Y  0.000  0.776  0.500
Hf  0.500  0.394  0.544
Hf  0.500  0.606  0.044
As  0.000  0.159  0.496
As  0.000  0.841  0.996
O  0.500  0.349  0.904
O  0.500  0.651  0.404

calculated volume: 21.3 Å³/atom

Most stable structure among those shown: (one). Next: +0.137 eV/atom.